A plane-wave DFT calculation with PBE was carried out for crystalline Rb2Pm2IrO6 at its relaxed geometry.

abc: 5.938 5.938 6.900
angles: 97.36 97.36 119.41
Positions (direct):
Rb1 0.161 0.839 0.000
Rb2 0.839 0.161 0.000
Pm1 0.336 0.664 0.500
Pm2 0.664 0.336 0.500
Ir1 0.000 0.000 0.500
O1 0.046 0.349 0.665
O2 0.245 0.245 0.330
O3 0.349 0.046 0.665
O4 0.651 0.954 0.335
O5 0.755 0.755 0.670
O6 0.954 0.651 0.335

Summary:
M_tot ... 1.05 μB per formula unit
ΔE_f (raw) ... -2.0200 eV per atom
Total DFT energy (no corrections) ... -6.570 eV/atom